Entry 1:
# LiTmPbS3

An optimized crystal structure of LiTmPbS3 (GGA-PBE, the Open Quantum Materials Database).

Cell lengths 6.7482, 6.7482, 10.1802 Å; angles 90.00, 90.00, 145.91 degrees
Positions (direct):
Li  0.0275  0.9725  0.7500
Li  0.9725  0.0275  0.2500
Tm  0.5000  0.5000  0.0000
Tm  0.5000  0.5000  0.5000
Pb  0.2492  0.7508  0.2500
Pb  0.7508  0.2492  0.7500
S  0.1346  0.8654  0.5630
S  0.1346  0.8654  0.9370
S  0.4244  0.5756  0.7500
S  0.5756  0.4244  0.2500
S  0.8654  0.1346  0.0630
S  0.8654  0.1346  0.4370

Properties
Space-group type   Cmcm, No. 63

---

Entry 2:
# Na4OsSe4

An optimized crystal structure of Na4OsSe4 (GGA-PBE, the Open Quantum Materials Database).

Cell lengths 8.0662, 8.0662, 7.1911 Å; angles 90.00, 90.00, 90.00 degrees
Positions (direct):
Na  0.0916  0.3023  0.4712
Na  0.1977  0.4084  0.9712
Na  0.3023  0.9084  0.5288
Na  0.4084  0.8023  0.0288
Na  0.5916  0.1977  0.0288
Na  0.6977  0.0916  0.5288
Na  0.8023  0.5916  0.9712
Na  0.9084  0.6977  0.4712
Os  0.0000  0.0000  0.0000
Os  0.5000  0.5000  0.5000
Se  0.0906  0.7701  0.8187
Se  0.2299  0.0906  0.1813
Se  0.2701  0.5906  0.3187
Se  0.4094  0.2701  0.6813
Se  0.5906  0.7299  0.6813
Se  0.7299  0.4094  0.3187
Se  0.7701  0.9094  0.1813
Se  0.9094  0.2299  0.8187

Properties
Space-group type   P-42_1c, No. 114

---

Entry 3:
# InSnW

An optimized crystal structure of InSnW (GGA-PBE, the Open Quantum Materials Database).

Cell lengths 4.6600, 4.6600, 4.6600 Å; angles 60.00, 60.00, 60.00 degrees
Positions (direct):
In  0.0000  0.0000  0.0000
Sn  0.2500  0.2500  0.2500
W  0.5000  0.5000  0.5000

Properties
Space-group type   F-43m, No. 216

---

Entry 4:
# Ba2GdS3

An optimized crystal structure of Ba2GdS3 (GGA-PBE, the Open Quantum Materials Database).

Cell lengths 4.2674, 4.2674, 10.8704 Å; angles 90.00, 90.00, 120.00 degrees
Positions (direct):
Ba  0.3333  0.6667  0.1769
Ba  0.6667  0.3333  0.8231
Gd  0.0000  0.0000  0.5000
S  0.0000  0.0000  0.0000
S  0.3333  0.6667  0.6355
S  0.6667  0.3333  0.3645

Properties
Space-group type   P-3m1, No. 164

---

Entry 5:
# ZnGa2Sn

An optimized crystal structure of ZnGa2Sn (GGA-PBE, the Open Quantum Materials Database).

Cell lengths 4.8858, 4.8858, 4.8858 Å; angles 60.00, 60.00, 60.00 degrees
Positions (direct):
Zn  0.0000  0.0000  0.0000
Ga  0.2500  0.2500  0.2500
Ga  0.5000  0.5000  0.5000
Sn  0.7500  0.7500  0.7500

Properties
Space-group type   F-43m, No. 216

---

Entry 6:
# LaZn3Ni2

An optimized crystal structure of LaZn3Ni2 (GGA-PBE, the Open Quantum Materials Database).

Cell lengths 5.2940, 5.2940, 4.0748 Å; angles 90.00, 90.00, 120.00 degrees
Positions (direct):
La  0.0000  0.0000  0.0000
Zn  0.0000  0.5000  0.5000
Zn  0.5000  0.0000  0.5000
Zn  0.5000  0.5000  0.5000
Ni  0.3333  0.6667  0.0000
Ni  0.6667  0.3333  0.0000

Properties
Space-group type   P6/mmm, No. 191
ΔE_f   -0.37 eV/atom

---

Entry 7:
# KAg2SbS3

An optimized crystal structure of KAg2SbS3 (GGA-PBE, the Open Quantum Materials Database).

Cell lengths 6.8480, 9.5147, 11.0448 Å; angles 91.03, 92.70, 90.36 degrees
Positions (direct):
K  0.2020  0.4214  0.1266
K  0.2945  0.5709  0.6324
K  0.7055  0.4291  0.3676
K  0.7980  0.5786  0.8734
Ag  0.0103  0.1076  0.3391
Ag  0.0950  0.8330  0.0478
Ag  0.4113  0.1604  0.5456
Ag  0.4842  0.2688  0.8587
Ag  0.5158  0.7312  0.1413
Ag  0.5887  0.8396  0.4544
Ag  0.9050  0.1670  0.9522
Ag  0.9897  0.8924  0.6609
Sb  0.0479  0.7940  0.3419
Sb  0.4713  0.9458  0.8525
Sb  0.5287  0.0542  0.1475
Sb  0.9521  0.2060  0.6581
S  0.1128  0.3078  0.4833
S  0.1205  0.3344  0.8316
S  0.1675  0.0833  0.1380
S  0.3569  0.6592  0.3357
S  0.3633  0.7116  0.9236
S  0.3649  0.9144  0.6374
S  0.6351  0.0856  0.3626
S  0.6367  0.2884  0.0764
S  0.6431  0.3408  0.6643
S  0.8325  0.9167  0.8620
S  0.8795  0.6656  0.1684
S  0.8872  0.6922  0.5167

Properties
Space-group type   P-1, No. 2

---

Entry 8:
# SmEr2Mg3Ir2Pt

An optimized crystal structure of SmEr2Mg3Ir2Pt (GGA-PBE, the Open Quantum Materials Database).

Cell lengths 4.0356, 7.3344, 7.3344 Å; angles 120.22, 90.00, 90.00 degrees
Positions (direct):
Sm  0.0000  0.0000  0.0000
Er  0.0000  0.4160  0.8274
Er  0.0000  0.8274  0.4160
Mg  0.5000  0.1683  0.4169
Mg  0.5000  0.4169  0.1683
Mg  0.5000  0.6627  0.6627
Ir  0.5000  0.0845  0.7440
Ir  0.5000  0.7440  0.0845
Pt  0.0000  0.4205  0.4205

Properties
Space-group type   Amm2, No. 38

---

Entry 9:
# Nd3Gd2HoNiTe2

An optimized crystal structure of Nd3Gd2HoNiTe2 (GGA-PBE, the Open Quantum Materials Database).

Cell lengths 4.0124, 8.5431, 8.5431 Å; angles 119.86, 90.00, 90.00 degrees
Positions (direct):
Nd  0.0000  0.0000  0.0000
Nd  0.0000  0.4080  0.8149
Nd  0.0000  0.8149  0.4080
Gd  0.5000  0.1716  0.4080
Gd  0.5000  0.4080  0.1716
Ho  0.5000  0.6428  0.6428
Ni  0.0000  0.4115  0.4115
Te  0.5000  0.0735  0.7413
Te  0.5000  0.7413  0.0735

Properties
Space-group type   Amm2, No. 38

---

Entry 10:
# UNbCo

An optimized crystal structure of UNbCo (GGA-PBE, the Open Quantum Materials Database).

Cell lengths 4.3210, 4.3210, 4.3210 Å; angles 60.00, 60.00, 60.00 degrees
Positions (direct):
U  0.0000  0.0000  0.0000
Nb  0.2500  0.2500  0.2500
Co  0.7500  0.7500  0.7500

Properties
Space-group type   F-43m, No. 216
ΔE_f   0.81 eV/atom

---

Entry 11:
# GdScCo4

An optimized crystal structure of GdScCo4 (GGA-PBE, the Open Quantum Materials Database).

Cell lengths 4.9748, 4.9748, 4.9748 Å; angles 60.00, 60.00, 60.00 degrees
Positions (direct):
Gd  0.0000  0.0000  0.0000
Sc  0.7500  0.7500  0.7500
Co  0.3756  0.3756  0.3756
Co  0.3756  0.3756  0.8731
Co  0.3756  0.8731  0.3756
Co  0.8731  0.3756  0.3756

Properties
Space-group type   F-43m, No. 216
ΔE_f   -0.24 eV/atom

---

Entry 12:
# HoNiIr

An optimized crystal structure of HoNiIr (GGA-PBE, the Open Quantum Materials Database).

Cell lengths 4.3952, 4.3952, 4.3952 Å; angles 60.00, 60.00, 60.00 degrees
Positions (direct):
Ho  0.0000  0.0000  0.0000
Ni  0.2500  0.2500  0.2500
Ir  0.7500  0.7500  0.7500

Properties
Space-group type   F-43m, No. 216
ΔE_f   0.31 eV/atom

---

Entry 13:
# GdYH2I4

An optimized crystal structure of GdYH2I4 (GGA-PBE, the Open Quantum Materials Database).

Cell lengths 4.0167, 4.0167, 16.6377 Å; angles 90.00, 90.00, 120.00 degrees
Positions (direct):
Gd  0.0000  0.0000  0.0000
Y  0.0000  0.0000  0.5000
H  0.3333  0.6667  0.0000
H  0.6667  0.3333  0.5000
I  0.3333  0.6667  0.3730
I  0.3333  0.6667  0.6270
I  0.6667  0.3333  0.1277
I  0.6667  0.3333  0.8723

Properties
Space-group type   P-6m2, No. 187

---

Entry 14:
# Rb2YHoO4

An optimized crystal structure of Rb2YHoO4 (GGA-PBE, the Open Quantum Materials Database).

Cell lengths 3.4640, 3.4640, 12.9091 Å; angles 90.00, 90.00, 120.00 degrees
Positions (direct):
Rb  0.3333  0.6667  0.2502
Rb  0.6667  0.3333  0.7498
Y  0.0000  0.0000  0.0000
Ho  0.0000  0.0000  0.5000
O  0.3333  0.6667  0.5888
O  0.3333  0.6667  0.9096
O  0.6667  0.3333  0.0904
O  0.6667  0.3333  0.4112

Properties
Space-group type   P-3m1, No. 164

---

Entry 15:
# PmSiAsO

An optimized crystal structure of PmSiAsO (GGA-PBE, the Open Quantum Materials Database).

Cell lengths 4.1365, 4.1365, 8.9480 Å; angles 90.00, 90.00, 90.00 degrees
Positions (direct):
Pm  0.2500  0.2500  0.1220
Pm  0.7500  0.7500  0.8780
Si  0.2500  0.7500  0.5000
Si  0.7500  0.2500  0.5000
As  0.2500  0.2500  0.6730
As  0.7500  0.7500  0.3270
O  0.2500  0.7500  0.0000
O  0.7500  0.2500  0.0000

Properties
Space-group type   P4/nmm, No. 129

---

Entry 16:
# Hf5Ga3

An optimized crystal structure of Hf5Ga3 (GGA-PBE, the Open Quantum Materials Database).

Cell lengths 7.9931, 7.9931, 5.6839 Å; angles 90.00, 90.00, 120.00 degrees
Positions (direct):
Hf  0.0000  0.2413  0.2500
Hf  0.0000  0.7587  0.7500
Hf  0.2413  0.0000  0.2500
Hf  0.2413  0.2413  0.7500
Hf  0.3333  0.6667  0.0000
Hf  0.3333  0.6667  0.5000
Hf  0.6667  0.3333  0.0000
Hf  0.6667  0.3333  0.5000
Hf  0.7587  0.0000  0.7500
Hf  0.7587  0.7587  0.2500
Ga  0.0000  0.3930  0.7500
Ga  0.0000  0.6070  0.2500
Ga  0.3930  0.0000  0.7500
Ga  0.3930  0.3930  0.2500
Ga  0.6070  0.0000  0.2500
Ga  0.6070  0.6070  0.7500

Properties
Space-group type   P6_3/mcm, No. 193

---

Entry 17:
# NdAlGeAu2

An optimized crystal structure of NdAlGeAu2 (GGA-PBE, the Open Quantum Materials Database).

Cell lengths 4.4930, 4.4930, 10.4073 Å; angles 90.00, 90.00, 90.00 degrees
Positions (direct):
Nd  0.2500  0.2500  0.2488
Nd  0.7500  0.7500  0.7512
Al  0.2500  0.2500  0.6257
Al  0.7500  0.7500  0.3743
Ge  0.2500  0.7500  0.0000
Ge  0.7500  0.2500  0.0000
Au  0.2500  0.2500  0.8641
Au  0.2500  0.7500  0.5000
Au  0.7500  0.2500  0.5000
Au  0.7500  0.7500  0.1359

Properties
Space-group type   P4/nmm, No. 129

---

Entry 18:
# TbSmNi2I2

An optimized crystal structure of TbSmNi2I2 (GGA-PBE, the Open Quantum Materials Database).

Cell lengths 4.0962, 4.0962, 12.1071 Å; angles 90.00, 90.00, 120.00 degrees
Positions (direct):
Tb  0.0000  0.0000  0.0000
Sm  0.0000  0.0000  0.3026
Ni  0.3333  0.6667  0.1563
Ni  0.6667  0.3333  0.1447
I  0.3333  0.6667  0.8209
I  0.6667  0.3333  0.4825

Properties
Space-group type   P3m1, No. 156

---

Entry 19:
# Ho2ErMg3AgHg2

An optimized crystal structure of Ho2ErMg3AgHg2 (GGA-PBE, the Open Quantum Materials Database).

Cell lengths 4.1228, 7.7605, 7.7605 Å; angles 119.99, 90.00, 90.00 degrees
Positions (direct):
Ho  0.0000  0.2048  0.7952
Ho  0.0000  0.7952  0.2048
Er  0.0000  0.3855  0.3855
Mg  0.5000  0.0413  0.0413
Mg  0.5000  0.5491  0.7952
Mg  0.5000  0.7952  0.5491
Ag  0.0000  0.7951  0.7951
Hg  0.5000  0.1285  0.4618
Hg  0.5000  0.4618  0.1285

Properties
Space-group type   Amm2, No. 38

---

Entry 20:
# Dy2TmAl3FeCu2

An optimized crystal structure of Dy2TmAl3FeCu2 (GGA-PBE, the Open Quantum Materials Database).

Cell lengths 4.0876, 6.8671, 6.8671 Å; angles 120.04, 90.00, 90.00 degrees
Positions (direct):
Dy  0.0000  0.2056  0.7944
Dy  0.0000  0.7944  0.2056
Tm  0.0000  0.3852  0.3852
Al  0.5000  0.0220  0.0220
Al  0.5000  0.5655  0.7932
Al  0.5000  0.7932  0.5655
Fe  0.0000  0.7906  0.7906
Cu  0.5000  0.1303  0.4596
Cu  0.5000  0.4596  0.1303

Properties
Space-group type   Amm2, No. 38

---

Entry 21:
# ZrMo

An optimized crystal structure of ZrMo (GGA-PBE, the Open Quantum Materials Database).

Cell lengths 4.9635, 5.4500, 5.6198 Å; angles 90.00, 90.00, 90.00 degrees
Positions (direct):
Zr  0.0000  0.0000  0.0000
Zr  0.0000  0.2604  0.4931
Zr  0.0000  0.7396  0.4931
Zr  0.5000  0.0000  0.7187
Mo  0.0000  0.5000  0.9985
Mo  0.5000  0.2529  0.2207
Mo  0.5000  0.5000  0.7380
Mo  0.5000  0.7471  0.2207

Properties
Space-group type   Pmm2, No. 25
ΔE_f   0.31 eV/atom

---

Entry 22:
# Er3In3Ni2Ag

An optimized crystal structure of Er3In3Ni2Ag (GGA-PBE, the Open Quantum Materials Database).

Cell lengths 7.5783, 7.5783, 3.8076 Å; angles 90.00, 90.00, 120.00 degrees
Positions (direct):
Er  0.0000  0.5892  0.0000
Er  0.4108  0.4108  0.0000
Er  0.5892  0.0000  0.0000
In  0.0000  0.2742  0.5000
In  0.2742  0.0000  0.5000
In  0.7258  0.7258  0.5000
Ni  0.3333  0.6667  0.5000
Ni  0.6667  0.3333  0.5000
Ag  0.0000  0.0000  0.0000

Properties
Space-group type   P-62m, No. 189

---

Number 1: volume 260 Å³ per cell, raw total energy -61.079 eV for the cell shown. Number 2: volume 468 Å³ per cell, raw total energy -71.292 eV for the cell shown. Number 3: volume 72 Å³ per cell, raw total energy -16.006 eV for the cell shown. Number 4: volume 171 Å³ per cell, raw total energy -32.964 eV for the cell shown. Number 5: volume 82 Å³ per cell, raw total energy -10.934 eV for the cell shown. Number 6: volume 99 Å³ per cell, raw total energy -22.100 eV for the cell shown. Number 7: volume 719 Å³ per cell, raw total energy -105.668 eV for the cell shown. Number 8: volume 188 Å³ per cell, raw total energy -49.263 eV for the cell shown. Number 9: volume 254 Å³ per cell, raw total energy -46.712 eV for the cell shown. Number 10: volume 57 Å³ per cell, raw total energy -26.056 eV for the cell shown. Number 11: volume 87 Å³ per cell, raw total energy -40.831 eV for the cell shown. Number 12: volume 60 Å³ per cell, raw total energy -18.078 eV for the cell shown. Number 13: volume 232 Å³ per cell, raw total energy -33.635 eV for the cell shown. Number 14: volume 134 Å³ per cell, raw total energy -54.315 eV for the cell shown. Number 15: volume 153 Å³ per cell, raw total energy -50.563 eV for the cell shown. Number 16: volume 314 Å³ per cell, raw total energy -124.802 eV for the cell shown. Number 17: volume 210 Å³ per cell, raw total energy -45.702 eV for the cell shown. Number 18: volume 176 Å³ per cell, raw total energy -28.843 eV for the cell shown. Number 19: volume 215 Å³ per cell, raw total energy -25.075 eV for the cell shown. Number 20: volume 167 Å³ per cell, raw total energy -44.055 eV for the cell shown. Number 21: volume 152 Å³ per cell, raw total energy -75.119 eV for the cell shown. Number 22: volume 189 Å³ per cell, raw total energy -40.020 eV for the cell shown.